DFT (GGA+U) results for a geometry-optimized MnVO2 structure.

Cell lengths 3.808, 3.808, 3.808 Å; angles 60.00, 60.00, 60.00 degrees
Fractional positions:
O 0.250 0.250 0.250
O 0.750 0.750 0.750
Mn 0.500 0.500 0.500
V 0.000 0.000 0.000

total magnetization: 1.0001 μB/atom
crystal system: cubic
energy relative to the lowest polymorph listed for this composition: 759 meV per atom
uncorrected energy: -7.047 eV/atom